No. 1
Here is a geometry-optimized Ti3MnNb structure from Alexandria. Energies are from PBE.

Structure (extended XYZ):
```
5
Lattice="4.456 0.000 0.000 0.000 4.456 0.000 0.000 0.000 4.456" Properties=species:S:1:pos:R:3 pbc="T T T"
Nb 2.228 2.228 2.228
Mn 0.000 0.000 0.000
Ti 0.000 2.228 0.000
Ti 0.000 0.000 2.228
Ti 2.228 0.000 0.000
```

## Properties
ΔH_f (0 K) (meV/atom): 429
Energy above the most stable polymorph in this dataset (eV/f.u.): 2.58
M_tot (Bohr magnetons per cell): 0.000
DFT total energy (eV/atom): -8.1563


No. 2
Here is a geometry-optimized LiCa2Fe structure from Alexandria. Energies are from PBE.

Structure (extended XYZ):
```
4
Lattice="-3.791 0.377 -2.631 -2.209 -1.268 3.002 -1.796 4.793 3.274" Properties=species:S:1:pos:R:3 pbc="T T T"
Ca -3.812 3.170 5.947
Ca -3.094 1.456 0.592
Fe -2.415 1.517 3.697
Li -4.483 3.048 2.822
```

## Properties
ΔH_f (0 K) (meV/atom): 367
M_tot (Bohr magnetons per cell): 1.943
DFT total energy (eV/atom): -3.2282


No. 3
Here is a geometry-optimized CeNdYEr structure from Alexandria. Energies are from PBE.

Structure (extended XYZ):
```
4
Lattice="5.697 0.000 0.000 2.849 4.934 0.000 2.849 1.645 4.652" Properties=species:S:1:pos:R:3 pbc="T T T"
Y 5.697 3.289 2.326
Nd 2.849 1.645 1.163
Ce 8.546 4.934 3.489
Er 0.000 0.000 0.000
```

## Properties
ΔH_f (0 K) (meV/atom): 159
M_tot (Bohr magnetons per cell): 0.775
DFT total energy (eV/atom): -5.2734


No. 4
Here is a geometry-optimized NaTaReB2 structure from Alexandria. Energies are from PBE.

Structure (extended XYZ):
```
5
Lattice="-2.637 2.393 -1.961 -2.933 -3.644 -0.503 -1.775 0.941 3.534" Properties=species:S:1:pos:R:3 pbc="T T T"
Re 0.000 0.000 0.000
B -0.887 0.471 1.767
B -1.318 1.197 -0.981
Na -1.467 -1.822 -0.251
Ta -3.672 -0.155 0.535
```

## Properties
ΔH_f (0 K) (meV/atom): 1752
M_tot (Bohr magnetons per cell): 0.001
DFT total energy (eV/atom): -6.0427


No. 5
Here is a geometry-optimized Ho4Er2N structure from Alexandria. Energies are from PBE.

Structure (extended XYZ):
```
7
Lattice="4.747 0.000 0.000 0.000 4.747 0.000 2.374 2.374 8.722" Properties=species:S:1:pos:R:3 pbc="T T T"
N 0.000 0.000 0.000
Ho 2.374 2.374 6.395
Ho 4.747 4.747 2.327
Ho 0.000 2.374 0.000
Ho 2.374 0.000 0.000
Er 2.374 2.374 2.929
Er 4.747 4.747 5.792
```

## Properties
M_tot (Bohr magnetons per cell): 0.000
Raw formation energy (eV per atom): -0.265
DFT total energy (eV/atom): -5.3743


No. 6
Here is a geometry-optimized CsTl12Pt7 structure from Alexandria. Energies are from PBE.

Structure (extended XYZ):
```
20
Lattice="7.442 0.000 2.380 -3.833 7.687 3.434 -0.223 0.000 9.248" Properties=species:S:1:pos:R:3 pbc="T T T"
Cs 0.000 0.000 0.000
Tl 3.912 4.001 4.995
Tl -2.987 6.600 9.214
Tl 2.086 1.973 2.842
Tl 0.056 6.880 7.559
Tl 2.733 5.089 8.428
Tl 4.707 2.781 10.118
Tl -1.320 4.907 4.944
Tl 0.653 2.598 6.635
Tl 3.330 0.807 7.503
Tl 1.300 5.714 12.220
Tl 6.374 1.088 5.848
Tl -0.526 3.686 10.067
Pt 4.828 1.820 3.574
Pt -2.582 6.923 6.503
Pt 1.987 2.584 9.315
Pt 3.721 0.000 1.190
Pt 1.399 5.103 5.747
Pt 5.969 0.764 8.559
Pt -1.442 5.867 11.488
```

## Properties
ΔH_f (0 K) (meV/atom): -3
M_tot (Bohr magnetons per cell): 0.000
DFT total energy (eV/atom): -3.5797


No. 7
Here is a geometry-optimized NbCrGa2N structure from Alexandria. Energies are from PBE.

Structure (extended XYZ):
```
5
Lattice="4.631 0.000 0.000 0.000 4.526 0.000 0.000 0.000 4.631" Properties=species:S:1:pos:R:3 pbc="T T T"
Cr 0.000 0.000 0.000
Nb 0.000 2.263 0.000
Ga 0.000 0.000 2.315
Ga 2.315 0.000 0.000
N 2.315 2.263 2.315
```

## Properties
M_tot (Bohr magnetons per cell): 1.866
Raw formation energy (eV per atom): 1.434
DFT total energy (eV/atom): -5.3805


No. 8
Here is a geometry-optimized ZrNb2Se structure from Alexandria. Energies are from PBE.

Structure (extended XYZ):
```
8
Lattice="3.933 0.000 0.000 0.000 3.933 0.000 1.966 1.966 10.276" Properties=species:S:1:pos:R:3 pbc="T T T"
Nb 2.918 0.983 2.569
Nb 1.014 2.950 2.569
Nb 2.950 2.981 7.707
Nb 4.916 4.885 7.707
Se 1.966 1.966 0.000
Se 1.966 3.933 5.138
Zr 0.000 0.000 0.000
Zr 3.933 1.966 5.138
```

## Properties
M_tot (Bohr magnetons per cell): 0.000
Raw formation energy (eV per atom): 0.023
DFT total energy (eV/atom): -8.0204


No. 9
Here is a geometry-optimized YIn2Te4 structure from Alexandria. Energies are from PBE.

Structure (extended XYZ):
```
7
Lattice="6.971 0.224 0.000 -3.160 6.218 0.000 -1.906 -3.221 5.886" Properties=species:S:1:pos:R:3 pbc="T T T"
Y 1.906 3.221 0.000
In -1.580 3.109 2.943
In 3.486 0.112 2.943
Te 0.594 -0.351 2.914
Te 4.464 1.708 0.690
Te -2.558 1.513 5.195
Te 1.312 3.573 2.972
```

## Properties
M_tot (Bohr magnetons per cell): 0.000
Raw formation energy (eV per atom): -0.469
DFT total energy (eV/atom): -3.9700


No. 10
Here is a geometry-optimized HfSc2Re2 structure from Alexandria. Energies are from PBE.

Structure (extended XYZ):
```
10
Lattice="-6.714 0.749 0.953 0.755 -1.614 6.586 0.600 4.168 0.953" Properties=species:S:1:pos:R:3 pbc="T T T"
Sc -0.350 1.128 5.069
Sc -3.590 1.252 6.567
Sc -5.009 2.175 3.422
Sc -1.769 2.051 1.924
Re -1.843 -1.129 6.102
Re -5.385 -0.359 4.963
Re -4.116 0.264 1.436
Re -0.574 -0.506 2.576
Hf 0.000 0.000 0.000
Hf -2.979 -0.432 3.769
```

## Properties
ΔH_f (0 K) (meV/atom): 61
M_tot (Bohr magnetons per cell): 0.000
DFT total energy (eV/atom): -9.4413


No. 11
Here is a geometry-optimized CuPtS structure from Alexandria. Energies are from PBE.

Structure (extended XYZ):
```
12
Lattice="4.397 0.000 0.000 0.000 3.476 0.000 -1.152 0.000 12.991" Properties=species:S:1:pos:R:3 pbc="T T T"
S 0.868 0.000 10.995
S 1.444 1.738 4.499
S 3.650 0.000 1.703
S 3.074 1.738 8.198
Cu 1.108 0.000 2.995
Cu 0.532 1.738 9.490
Cu 2.815 0.000 5.182
Cu 2.239 1.738 11.678
Pt -0.574 0.000 12.834
Pt 0.002 1.738 6.338
Pt 1.679 0.000 7.618
Pt 2.255 1.738 1.123
```

## Properties
Energy above the most stable polymorph in this dataset (eV/f.u.): 0.13
M_tot (Bohr magnetons per cell): 0.000
Raw formation energy (eV per atom): -0.137
DFT total energy (eV/atom): -4.8917


No. 12
Here is a geometry-optimized PmZn2Pd3 structure from Alexandria. Energies are from PBE.

Structure (extended XYZ):
```
12
Lattice="4.431 0.000 0.000 -2.216 3.838 0.000 0.000 0.000 12.618" Properties=species:S:1:pos:R:3 pbc="T T T"
Pm 0.000 0.000 3.154
Pm 0.000 0.000 9.463
Zn 2.216 1.279 5.316
Zn 0.000 2.558 7.302
Zn 0.000 2.558 11.624
Zn 2.216 1.279 0.993
Pd 0.000 0.000 6.309
Pd 0.000 0.000 0.000
Pd 2.216 1.279 7.900
Pd 0.000 2.558 1.591
Pd 2.216 1.279 11.027
Pd 0.000 2.558 4.718
```

## Properties
ΔH_f (0 K) (meV/atom): -667
M_tot (Bohr magnetons per cell): 0.000
DFT total energy (eV/atom): -4.4795


Among the records above, which one has the highest M_tot? LiCa2Fe


What did the seventh record say?
Here is a geometry-optimized NbCrGa2N structure from Alexandria. Energies are from PBE.

Structure (extended XYZ):
```
5
Lattice="4.631 0.000 0.000 0.000 4.526 0.000 0.000 0.000 4.631" Properties=species:S:1:pos:R:3 pbc="T T T"
Cr 0.000 0.000 0.000
Nb 0.000 2.263 0.000
Ga 0.000 0.000 2.315
Ga 2.315 0.000 0.000
N 2.315 2.263 2.315
```

## Properties
M_tot (Bohr magnetons per cell): 1.866
Raw formation energy (eV per atom): 1.434
DFT total energy (eV/atom): -5.3805


The highest DFT total energy belongs to which entry? LiCa2Fe